[1]
The following is a PBE calculation of a relaxed structure of TbAuI6, from Alexandria via LeMat-Bulk.

Structure (CIF):
```
data_TbAuI6
_cell_length_a 6.3359
_cell_length_b 7.9049
_cell_length_c 8.6922
_cell_angle_alpha 68.30
_cell_angle_beta 73.18
_cell_angle_gamma 85.63
_symmetry_space_group_name_H-M 'P -1'
_symmetry_Int_Tables_number 2
loop_
_symmetry_equiv_pos_as_xyz
'x,y,z'
'-x,-y,-z'
loop_
_atom_site_label
_atom_site_type_symbol
_atom_site_fract_x
_atom_site_fract_y
_atom_site_fract_z
Tb1 Tb 0.0000 0.0000 0.0000
Au1 Au 0.5000 0.5000 0.0000
I1 I 0.0312 0.8130 0.3534
I2 I 0.2765 0.3658 0.8402
I3 I 0.4051 0.8338 0.8079
```

Summary:
* formation energy without anion corrections: -62.35 kJ per mole of atoms
* energy: -22.378 eV/cell

=====

[2]
The following is a PBE calculation of a relaxed structure of Ce4Y2O11, from Alexandria via LeMat-Bulk.

Structure (CIF):
```
data_Ce4Y2O11
_cell_length_a 3.8603
_cell_length_b 3.8603
_cell_length_c 16.3112
_cell_angle_alpha 90.00
_cell_angle_beta 90.00
_cell_angle_gamma 90.00
_symmetry_space_group_name_H-M 'P -4 m 2'
_symmetry_Int_Tables_number 115
loop_
_symmetry_equiv_pos_as_xyz
'x,y,z'
'y,-x,-z'
'-x,-y,z'
'-y,x,-z'
'-x,y,z'
'-y,-x,-z'
'x,-y,z'
'y,x,-z'
loop_
_atom_site_label
_atom_site_type_symbol
_atom_site_fract_x
_atom_site_fract_y
_atom_site_fract_z
Ce1 Ce 0.0000 0.5000 0.0837
Ce2 Ce 0.0000 0.5000 0.7487
Y1 Y 0.0000 0.5000 0.4075
O1 O 0.0000 0.0000 0.0000
O2 O 0.0000 0.0000 0.1637
O3 O 0.0000 0.0000 0.3264
O4 O 0.0000 0.0000 0.5000
O5 O 0.5000 0.5000 0.0000
O6 O 0.5000 0.5000 0.1719
O7 O 0.5000 0.5000 0.3471
```

Summary:
* formation energy without anion corrections: -330.92 kJ per mole of atoms
* energy: -149.509 eV/cell